TlAs2Os, optimized geometry, DFT GGA-PBE; offset from the most stable computed form = 759 meV per atom; spin magnetization = 0.000 μB/atom; total DFT energy (no corrections) = -0.177 hartree per atom; ΔE_f = 0.90 eV/atom
1.0
5.066 0.003 0.000
1.404 4.867 0.000
-3.235 -2.435 3.044
Tl Os As
1 1 2
Direct
0.750 0.250 0.500
0.500 0.500 0.000
0.000 0.000 0.000
0.250 0.750 0.500


RbTlC3, optimized geometry, DFT GGA-PBE; offset from the most stable computed form = 745 meV per atom; spin magnetization = 1.600 μB/atom; total DFT energy (no corrections) = -0.088 hartree per atom; ΔE_f = 3.81 eV/atom
1.0
-4.691 2.600 1.994
-3.156 -2.648 -3.972
-0.882 -4.356 3.605
Tl C Rb
1 3 1
Direct
0.500 0.500 0.500
0.000 0.500 0.000
0.000 0.000 0.500
0.500 0.000 0.000
0.000 0.000 0.000


SmPaGa2, optimized geometry, DFT GGA-PBE; offset from the most stable computed form = 110 meV per atom; spin magnetization = 0.304 μB/atom; total DFT energy (no corrections) = -0.196 hartree per atom; ΔE_f = -0.26 eV/atom
1.0
5.103 0.000 0.000
2.552 4.420 0.000
2.552 1.473 4.167
Pa Ga Sm
1 2 1
Direct
0.000 0.000 0.000
0.250 0.250 0.250
0.750 0.750 0.750
0.500 0.500 0.500


SmPaCd2O6, optimized geometry, DFT GGA-PBE; raw formation energy = -2.531 eV per atom; spin magnetization = 0.000 μB/atom; total DFT energy (no corrections) = -0.261 hartree per atom
1.0
5.840 0.000 0.000
2.920 5.058 0.000
2.920 1.686 5.200
Sm Pa Cd O
1 1 2 6
Direct
0.812 0.812 0.563
0.318 0.318 0.047
0.534 0.534 0.398
0.029 0.029 0.914
0.591 0.209 0.258
0.209 0.942 0.258
0.942 0.591 0.258
0.422 0.692 0.773
0.692 0.113 0.773
0.113 0.422 0.773


K2Ba2Pt, optimized geometry, DFT GGA-PBE; offset from the most stable computed form = 276 meV per atom; spin magnetization = 0.000 μB/atom; total DFT energy (no corrections) = -0.093 hartree per atom; ΔE_f = -0.10 eV/atom
1.0
-7.102 -0.759 -4.490
4.545 -1.694 -6.902
-0.259 -7.595 1.693
K Ba Pt
4 4 2
Direct
0.177 0.677 0.500
0.677 0.823 0.500
0.823 0.323 0.500
0.323 0.177 0.500
0.315 0.815 0.000
0.815 0.685 0.000
0.685 0.185 0.000
0.185 0.315 0.000
0.000 0.000 0.000
0.500 0.500 0.000


K2SiSnH, optimized geometry, DFT GGA-PBE; spin magnetization = 0.001 μB/atom; total DFT energy (no corrections) = -0.094 hartree per atom
1.0
6.483 0.000 0.000
0.000 5.198 0.000
0.000 0.000 6.483
H K Si Sn
1 2 1 1
Direct
0.500 0.500 0.500
0.000 0.000 0.500
0.500 0.000 0.000
0.000 0.000 0.000
0.000 0.500 0.000


Sc2BiCl, optimized geometry, DFT GGA-PBE; offset from the most stable computed form = 17 meV per atom; raw formation energy = -0.724 eV per atom; spin magnetization = 0.000 μB/atom; total DFT energy (no corrections) = -0.196 hartree per atom
1.0
2.431 0.000 8.184
-1.215 2.105 8.184
-1.215 -2.105 8.184
Sc Bi Cl
2 1 1
Direct
0.900 0.900 0.900
0.100 0.100 0.100
0.500 0.500 0.500
0.000 0.000 0.000


Tl2FeTc, optimized geometry, DFT GGA-PBE; offset from the most stable computed form = 361 meV per atom; spin magnetization = 0.731 μB/atom; total DFT energy (no corrections) = -0.186 hartree per atom; ΔE_f = 0.82 eV/atom
1.0
0.546 -1.000 4.540
-3.694 -1.274 2.576
-0.403 -4.420 1.487
Tl Tc Fe
2 1 1
Direct
0.250 0.250 0.250
0.750 0.750 0.750
0.500 0.500 0.500
0.000 0.000 0.000


- Which of these has the highest total DFT energy (no corrections)?
  RbTlC3